1.
Density functional theory data (PBEsol) for an optimized crystal structure of Nb4C3.

It has space group R-3m (No. 166, hexagonal axes), with a = 3.1367 Å, b = 3.1367 Å, c = 30.5562 Å, α = 90.00°, β = 90.00° and γ = 120.00°. Symmetry generates all atoms from Nb at (0.0000, 0.0000, 0.1228), Nb at (0.0000, 0.0000, 0.3754), C at (0.0000, 0.0000, 0.2528) and C at (0.0000, 0.0000, 0.5000).

Its energy relative to the elements is -368 kJ/mol of formula units. The value obtained for the energy relative to the lowest polymorph listed for this composition is 0.000 eV per atom. For the uncorrected energy, the calculation gives -10.862 eV per atom. Its density of states at the Fermi level is 3.135 states/eV/f.u.

=====

2.
Density functional theory data (PBEsol) for an optimized crystal structure of Nb4C3.

It has space group R3m (No. 160, hexagonal axes), with a = 3.1310 Å, b = 3.1310 Å, c = 30.6379 Å, α = 90.00°, β = 90.00° and γ = 120.00°. Symmetry generates all atoms from Nb at (0.0000, 0.0000, 0.0000), Nb at (0.0000, 0.0000, 0.1644), Nb at (0.0000, 0.0000, 0.5791), Nb at (0.0000, 0.0000, 0.7488), C at (0.0000, 0.0000, 0.2891), C at (0.0000, 0.0000, 0.3777) and C at (0.0000, 0.0000, 0.8702).

Its energy relative to the elements is -343 kJ/mol of formula units. The value obtained for the energy relative to the lowest polymorph listed for this composition is 0.037 eV per atom. For the uncorrected energy, the calculation gives -10.825 eV per atom. Its density of states at the Fermi level is 3.414 states/eV/f.u.

=====

3.
Density functional theory data (PBEsol) for an optimized crystal structure of NbNiC3.

It has space group Pm-3m (No. 221), with a = 3.666 Å, b = 3.666 Å, c = 3.666 Å, α = 90.00°, β = 90.00° and γ = 90.00°. Symmetry generates all atoms from Nb at (0.000, 0.000, 0.000), Ni at (0.500, 0.500, 0.500) and C at (0.000, 0.500, 0.500).

Its energy relative to the elements is 858 kJ/mol of formula units. For the uncorrected energy, the calculation gives -7.405 eV per atom. Its density of states at the Fermi level is 3.939 states/eV/f.u.

=====

4.
Density functional theory data (PBEsol) for an optimized crystal structure of Nb3Ni3C.

It has space group Fd-3m (No. 227, origin choice 2), with a = 11.266 Å, b = 11.266 Å, c = 11.266 Å, α = 90.00°, β = 90.00° and γ = 90.00°. Symmetry generates all atoms from Nb at (0.073, 0.375, 0.375), Ni at (0.000, 0.000, 0.500), Ni at (0.045, 0.045, 0.705) and C at (0.000, 0.000, 0.000).

Its energy relative to the elements is -216 kJ/mol of formula units. For the uncorrected energy, the calculation gives -8.975 eV per atom. Its density of states at the Fermi level is 8.537 states/eV/f.u.

=====

5.
Density functional theory data (PBEsol) for an optimized crystal structure of Nb4NiC2S4.

It has space group P2/m (No. 10), with a = 5.686 Å, b = 3.289 Å, c = 8.507 Å, α = 90.00°, β = 102.29° and γ = 90.00°. Symmetry generates all atoms from Nb at (0.116, 0.000, 0.360), Nb at (0.370, 0.500, 0.639), Ni at (0.000, 0.000, 0.000), C at (0.000, 0.500, 0.500), C at (0.500, 0.000, 0.500), S at (0.226, 0.500, 0.160) and S at (0.281, 0.000, 0.841).

The calculation puts the formation energy from raw total energies at -0.853 eV per atom. For the uncorrected energy, the calculation gives -8.696 eV per atom. Its density of states at the Fermi level is 5.530 states/eV/f.u.

=====

6.
Density functional theory data (PBEsol) for an optimized crystal structure of NbTl2NiC.

It has space group P4/mmm (No. 123), with a = 5.480 Å, b = 5.480 Å, c = 4.430 Å, α = 90.00°, β = 90.00° and γ = 90.00°. Symmetry generates all atoms from Nb at (0.000, 0.000, 0.000), Tl at (0.000, 0.500, 0.000), Ni at (0.000, 0.000, 0.500) and C at (0.500, 0.500, 0.500).

Its energy relative to the elements is 1102 kJ/mol of formula units. For the uncorrected energy, the calculation gives -4.093 eV per atom. Its density of states at the Fermi level is 4.475 states/eV/f.u.